{"formula": "CrPBr2", "functional": "PBE", "state": "relaxed", "lattice_angstrom": [[3.4941, 0.0000, 0.0000], [-1.7470, 3.0260, 0.0000], [0.0000, 0.0000, 31.6161]], "species": ["Cr", "Cr", "Cr", "P", "P", "P", "Br", "Br", "Br", "Br", "Br", "Br"], "fractional_positions": [[0.0000, 0.0000, 0.0000], [0.3333, 0.6667, 0.6667], [0.6667, 0.3333, 0.3333], [0.0000, 0.0000, 0.5000], [0.3333, 0.6667, 0.1667], [0.6667, 0.3333, 0.8333], [0.0000, 0.0000, 0.3849], [0.0000, 0.0000, 0.6151], [0.3333, 0.6667, 0.0516], [0.3333, 0.6667, 0.2818], [0.6667, 0.3333, 0.7182], [0.6667, 0.3333, 0.9484]], "dos_at_fermi_per_ev_atom": 0.997, "relative_energy_ev_per_fu": 2.92, "raw_formation_energy_ev_per_atom": 0.352, "magmom_total_mub_per_cell": 14.14}



{"formula": "Y2InAgRh", "functional": "PBE", "state": "relaxed", "lattice_angstrom": [[5.1899, 0.0000, 0.0000], [0.0000, 5.1899, 0.0000], [0.0000, 0.0000, 5.1928]], "species": ["Y", "Y", "In", "Ag", "Rh"], "fractional_positions": [[0.0000, 0.5000, 0.0000], [0.5000, 0.0000, 0.0000], [0.0000, 0.0000, 0.5000], [0.5000, 0.5000, 0.5000], [0.5000, 0.5000, 0.0000]], "dos_at_fermi_per_ev_atom": 0.677, "formation_energy_mev_per_atom": -141, "magmom_total_mub_per_cell": 0.00}



{"formula": "Cs3Li2MnCl6", "functional": "PBE", "state": "relaxed", "lattice_angstrom": [[7.4170, 0.0000, 0.0000], [-3.7085, 6.4233, 0.0000], [0.0000, 0.0000, 8.9439]], "species": ["Cs", "Cs", "Cs", "Li", "Li", "Mn", "Cl", "Cl", "Cl", "Cl", "Cl", "Cl"], "fractional_positions": [[0.0000, 0.0000, 0.0000], [0.3333, 0.6667, 0.6577], [0.6667, 0.3333, 0.3423], [0.3333, 0.6667, 0.2517], [0.6667, 0.3333, 0.7483], [0.0000, 0.0000, 0.5000], [0.1611, 0.3222, 0.3248], [0.1611, 0.8389, 0.3248], [0.3222, 0.1611, 0.6752], [0.6778, 0.8389, 0.3248], [0.8389, 0.1611, 0.6752], [0.8389, 0.6778, 0.6752]], "dos_at_fermi_per_ev_atom": 0.337, "raw_formation_energy_ev_per_atom": -1.522, "magmom_total_mub_per_cell": 4.34}



{"formula": "Zn2CoTc", "functional": "PBE", "state": "relaxed", "lattice_angstrom": [[2.5663, 0.0000, 0.0000], [0.0000, 4.2334, 0.0000], [-0.8379, 0.0000, 4.9183]], "species": ["Zn", "Zn", "Co", "Tc"], "fractional_positions": [[0.1869, 0.0000, 0.2571], [0.8131, 0.0000, 0.7429], [0.0000, 0.5000, 0.5000], [0.5000, 0.5000, 0.0000]], "dos_at_fermi_per_ev_atom": 0.929, "formation_energy_mev_per_atom": 125, "relative_energy_ev_per_fu": 0.58, "magmom_total_mub_per_cell": 1.49}



{"formula": "MnFe2Si", "functional": "PBE", "state": "relaxed", "lattice_angstrom": [[2.8635, 0.0000, 0.0000], [0.0000, 3.8626, 0.0000], [0.0000, 0.0000, 7.8929]], "species": ["Mn", "Mn", "Fe", "Fe", "Fe", "Fe", "Si", "Si"], "fractional_positions": [[0.0000, 0.0000, 0.0000], [0.5000, 0.5000, 0.5000], [0.0000, 0.5000, 0.2439], [0.0000, 0.5000, 0.7561], [0.5000, 0.0000, 0.2561], [0.5000, 0.0000, 0.7439], [0.0000, 0.0000, 0.5000], [0.5000, 0.5000, 0.0000]], "dos_at_fermi_per_ev_atom": 0.839, "raw_formation_energy_ev_per_atom": -0.217, "magmom_total_mub_per_cell": 5.15}



{"formula": "BaTi2Sb2O", "functional": "PBE", "state": "relaxed", "lattice_angstrom": [[4.1108, 0.0000, 0.0000], [0.0000, 4.1108, 0.0000], [0.0000, 0.0000, 8.2984]], "species": ["Ba", "Ti", "Ti", "Sb", "Sb", "O"], "fractional_positions": [[0.0000, 0.0000, 0.0000], [0.0000, 0.5000, 0.5000], [0.5000, 0.0000, 0.5000], [0.5000, 0.5000, 0.2553], [0.5000, 0.5000, 0.7447], [0.0000, 0.0000, 0.5000]], "dos_at_fermi_per_ev_atom": 0.593, "raw_formation_energy_ev_per_atom": -1.372, "magmom_total_mub_per_cell": 0.00}



{"formula": "Nd4SnTe", "functional": "PBE", "state": "relaxed", "lattice_angstrom": [[5.6996, 0.0000, 0.0000], [-0.3206, 7.9448, 0.0000], [-2.6016, -3.6847, 8.6685]], "species": ["Nd", "Nd", "Nd", "Nd", "Nd", "Nd", "Nd", "Nd", "Sn", "Sn", "Te", "Te"], "fractional_positions": [[0.0743, 0.4185, 0.1460], [0.1786, 0.0488, 0.3603], [0.3212, 0.4604, 0.6401], [0.4252, 0.0808, 0.8519], [0.5748, 0.9192, 0.1481], [0.6788, 0.5396, 0.3599], [0.8214, 0.9512, 0.6397], [0.9257, 0.5815, 0.8540], [0.2488, 0.7512, 0.4966], [0.7512, 0.2488, 0.5034], [0.0000, 0.0000, 0.0000], [0.5000, 0.5000, 0.0000]], "dos_at_fermi_per_ev_atom": 1.227, "raw_formation_energy_ev_per_atom": -0.533, "magmom_total_mub_per_cell": 0.00}



{"formula": "CaTb12Dy5", "functional": "PBE", "state": "relaxed", "lattice_angstrom": [[10.7034, 0.0000, 0.0000], [0.0000, 5.0456, 0.0000], [-0.0072, 0.0000, 10.7195]], "species": ["Ca", "Tb", "Tb", "Tb", "Tb", "Tb", "Tb", "Tb", "Tb", "Tb", "Tb", "Tb", "Tb", "Dy", "Dy", "Dy", "Dy", "Dy"], "fractional_positions": [[0.0000, 0.0000, 0.0000], [0.9997, 0.0000, 0.3375], [0.0003, 0.0000, 0.6625], [0.1664, 0.5000, 0.5001], [0.1722, 0.5000, 0.1723], [0.3335, 0.0000, 0.3335], [0.3376, 0.0000, 0.9997], [0.5001, 0.5000, 0.1664], [0.4999, 0.5000, 0.8336], [0.6624, 0.0000, 0.0003], [0.6665, 0.0000, 0.6665], [0.8278, 0.5000, 0.8277], [0.8336, 0.5000, 0.4999], [0.1725, 0.5000, 0.8275], [0.3335, 0.0000, 0.6665], [0.5000, 0.5000, 0.5000], [0.6665, 0.0000, 0.3335], [0.8275, 0.5000, 0.1725]], "dos_at_fermi_per_ev_atom": 1.387, "formation_energy_mev_per_atom": 35, "magmom_total_mub_per_cell": 0.00}



{"formula": "ZrSc2Cu3", "functional": "PBE", "state": "relaxed", "lattice_angstrom": [[3.2412, 0.0000, 0.0000], [0.0000, 3.2412, 0.0000], [0.0000, 0.0000, 9.9283]], "species": ["Zr", "Sc", "Sc", "Cu", "Cu", "Cu"], "fractional_positions": [[0.0000, 0.0000, 0.0000], [0.0000, 0.0000, 0.3352], [0.0000, 0.0000, 0.6648], [0.5000, 0.5000, 0.1721], [0.5000, 0.5000, 0.5000], [0.5000, 0.5000, 0.8279]], "dos_at_fermi_per_ev_atom": 0.862, "formation_energy_mev_per_atom": -216, "relative_energy_ev_per_fu": 0.00, "magmom_total_mub_per_cell": 0.77}



{"formula": "NbCrIr", "functional": "PBE", "state": "relaxed", "lattice_angstrom": [[0.0000, 4.0619, 9.1801], [2.4242, 0.0000, 9.1801], [2.4242, 4.0619, 0.0000]], "species": ["Nb", "Nb", "Nb", "Nb", "Cr", "Cr", "Cr", "Cr", "Ir", "Ir", "Ir", "Ir"], "fractional_positions": [[0.0540, 0.6960, 0.0540], [0.3040, 0.9460, 0.3040], [0.6960, 0.0540, 0.6960], [0.9460, 0.3040, 0.9460], [0.0009, 0.0009, 0.2491], [0.2491, 0.2491, 0.0009], [0.7509, 0.7509, 0.9991], [0.9991, 0.9991, 0.7509], [0.3032, 0.3032, 0.4468], [0.4468, 0.4468, 0.3032], [0.5532, 0.5532, 0.6968], [0.6968, 0.6968, 0.5532]], "dos_at_fermi_per_ev_atom": 1.138, "formation_energy_mev_per_atom": 53, "magmom_total_mub_per_cell": 0.00}



{"formula": "TaCuF2", "functional": "PBE", "state": "relaxed", "lattice_angstrom": [[5.2686, 0.0000, 0.0000], [0.0000, 5.2686, 0.0000], [0.0000, 0.0000, 8.4287]], "species": ["Ta", "Ta", "Ta", "Ta", "Cu", "Cu", "Cu", "Cu", "F", "F", "F", "F", "F", "F", "F", "F"], "fractional_positions": [[0.0000, 0.0000, 0.0000], [0.0000, 0.5000, 0.2500], [0.5000, 0.0000, 0.7500], [0.5000, 0.5000, 0.5000], [0.0000, 0.0000, 0.5000], [0.0000, 0.5000, 0.7500], [0.5000, 0.0000, 0.2500], [0.5000, 0.5000, 0.0000], [0.2313, 0.2500, 0.6250], [0.2500, 0.7313, 0.8750], [0.2500, 0.7687, 0.3750], [0.2687, 0.2500, 0.1250], [0.7313, 0.7500, 0.1250], [0.7500, 0.2313, 0.3750], [0.7500, 0.2687, 0.8750], [0.7687, 0.7500, 0.6250]], "dos_at_fermi_per_ev_atom": 0.344, "relative_energy_ev_per_fu": 0.19, "raw_formation_energy_ev_per_atom": -0.320, "magmom_total_mub_per_cell": 0.00}



{"formula": "CaHfTcO6", "functional": "PBE", "state": "relaxed", "lattice_angstrom": [[5.3210, 0.0000, 0.0000], [-2.6605, 4.6081, 0.0000], [0.0000, 0.0000, 10.0261]], "species": ["Ca", "Ca", "Hf", "Hf", "Tc", "Tc", "O", "O", "O", "O", "O", "O", "O", "O", "O", "O", "O", "O"], "fractional_positions": [[0.0000, 0.0000, 0.0000], [0.0000, 0.0000, 0.5000], [0.3333, 0.6667, 0.2500], [0.6667, 0.3333, 0.7500], [0.3333, 0.6667, 0.7500], [0.6667, 0.3333, 0.2500], [0.0196, 0.3743, 0.6423], [0.0196, 0.6453, 0.8577], [0.3547, 0.3743, 0.8577], [0.3547, 0.9804, 0.6423], [0.3743, 0.0196, 0.1423], [0.3743, 0.3547, 0.3577], [0.6257, 0.6453, 0.6423], [0.6257, 0.9804, 0.8577], [0.6453, 0.0196, 0.3577], [0.6453, 0.6257, 0.1423], [0.9804, 0.3547, 0.1423], [0.9804, 0.6257, 0.3577]], "dos_at_fermi_per_ev_atom": 0.459, "raw_formation_energy_ev_per_atom": -2.418, "magmom_total_mub_per_cell": 2.02}



{"formula": "KPa2Tl3Te6", "functional": "PBE", "state": "relaxed", "lattice_angstrom": [[10.4844, -2.2493, 0.0000], [10.4844, 2.2493, 0.0000], [-2.7001, 0.0000, 9.5228]], "species": ["K", "Pa", "Pa", "Tl", "Tl", "Tl", "Te", "Te", "Te", "Te", "Te", "Te"], "fractional_positions": [[0.0000, 0.0000, 0.0000], [0.3295, 0.3295, 0.6641], [0.6705, 0.6705, 0.3359], [0.0000, 0.0000, 0.5000], [0.3435, 0.3435, 0.1675], [0.6565, 0.6565, 0.8325], [0.1738, 0.1738, 0.5602], [0.1777, 0.1777, 0.1239], [0.4747, 0.4747, 0.7307], [0.5253, 0.5253, 0.2693], [0.8223, 0.8223, 0.8761], [0.8262, 0.8262, 0.4398]], "dos_at_fermi_per_ev_atom": 0.887, "raw_formation_energy_ev_per_atom": -0.682, "magmom_total_mub_per_cell": 2.01}



{"formula": "GdDyZnCu", "functional": "PBE", "state": "relaxed", "lattice_angstrom": [[7.0771, 0.0000, 0.0000], [0.0000, 7.0771, 0.0000], [0.0000, 0.0000, 7.0771]], "species": ["Gd", "Gd", "Gd", "Gd", "Dy", "Dy", "Dy", "Dy", "Zn", "Zn", "Zn", "Zn", "Cu", "Cu", "Cu", "Cu"], "fractional_positions": [[0.0000, 0.0000, 0.0000], [0.0000, 0.5000, 0.5000], [0.5000, 0.0000, 0.5000], [0.5000, 0.5000, 0.0000], [0.0000, 0.0000, 0.5000], [0.0000, 0.5000, 0.0000], [0.5000, 0.0000, 0.0000], [0.5000, 0.5000, 0.5000], [0.2500, 0.2500, 0.2500], [0.2500, 0.7500, 0.7500], [0.7500, 0.2500, 0.7500], [0.7500, 0.7500, 0.2500], [0.2500, 0.2500, 0.7500], [0.2500, 0.7500, 0.2500], [0.7500, 0.2500, 0.2500], [0.7500, 0.7500, 0.7500]], "dos_at_fermi_per_ev_atom": 0.734, "formation_energy_mev_per_atom": -276, "magmom_total_mub_per_cell": 28.63}



{"formula": "MoPdAuC2", "functional": "PBE", "state": "relaxed", "lattice_angstrom": [[3.9532, 0.0000, 0.0000], [0.0000, 3.9532, 0.0000], [0.0000, 0.0000, 5.0321]], "species": ["Mo", "Pd", "Au", "C", "C"], "fractional_positions": [[0.0000, 0.0000, 0.0000], [0.5000, 0.5000, 0.5000], [0.5000, 0.5000, 0.0000], [0.0000, 0.5000, 0.5000], [0.5000, 0.0000, 0.5000]], "dos_at_fermi_per_ev_atom": 1.632, "formation_energy_mev_per_atom": 2376, "magmom_total_mub_per_cell": 0.00}



{"formula": "AcPmTeO", "functional": "PBE", "state": "relaxed", "lattice_angstrom": [[4.4980, 0.0000, 0.0000], [0.0000, 4.4980, 0.0000], [0.0000, 0.0000, 10.6704]], "species": ["Ac", "Ac", "Pm", "Pm", "Te", "Te", "O", "O"], "fractional_positions": [[0.2500, 0.2500, 0.1083], [0.7500, 0.7500, 0.8917], [0.2500, 0.7500, 0.5000], [0.7500, 0.2500, 0.5000], [0.2500, 0.2500, 0.7180], [0.7500, 0.7500, 0.2820], [0.2500, 0.7500, 0.0000], [0.7500, 0.2500, 0.0000]], "dos_at_fermi_per_ev_atom": 0.647, "raw_formation_energy_ev_per_atom": -2.069, "magmom_total_mub_per_cell": 0.52}



{"formula": "LaPr2Y5Tm", "functional": "PBE", "state": "relaxed", "lattice_angstrom": [[-4.3295, 4.3295, 7.9711], [4.3295, -4.3295, 7.9711], [4.3295, 4.3295, -7.9711]], "species": ["La", "La", "Pr", "Pr", "Pr", "Pr", "Y", "Y", "Y", "Y", "Y", "Y", "Y", "Y", "Y", "Y", "Tm", "Tm"], "fractional_positions": [[0.2500, 0.7500, 0.5000], [0.7500, 0.2500, 0.5000], [0.1197, 0.6197, 0.7393], [0.3803, 0.1197, 0.5000], [0.6197, 0.8803, 0.5000], [0.8803, 0.3803, 0.2607], [0.0000, 0.0000, 0.0000], [0.0680, 0.1528, 0.5000], [0.1528, 0.6528, 0.0848], [0.3472, 0.4320, 0.5000], [0.4320, 0.9320, 0.0848], [0.5000, 0.5000, 0.0000], [0.5680, 0.0680, 0.9152], [0.6528, 0.5680, 0.5000], [0.8472, 0.3472, 0.9152], [0.9320, 0.8472, 0.5000], [0.2500, 0.2500, 0.0000], [0.7500, 0.7500, 0.0000]], "dos_at_fermi_per_ev_atom": 1.175, "formation_energy_mev_per_atom": 238, "magmom_total_mub_per_cell": 0.00}



{"formula": "Y2IrPb", "functional": "PBE", "state": "relaxed", "lattice_angstrom": [[3.4978, 0.0000, 0.0000], [0.0000, 3.4978, 0.0000], [0.0000, 0.0000, 8.3217]], "species": ["Y", "Y", "Ir", "Pb"], "fractional_positions": [[0.0000, 0.0000, 0.0000], [0.5000, 0.5000, 0.3471], [0.0000, 0.0000, 0.5386], [0.5000, 0.5000, 0.7366]], "dos_at_fermi_per_ev_atom": 1.002, "formation_energy_mev_per_atom": -194, "magmom_total_mub_per_cell": 0.57}



{"formula": "DyGe2Rh4", "functional": "PBE", "state": "relaxed", "lattice_angstrom": [[7.7123, 0.0000, 0.0000], [0.0000, 7.7123, 0.0000], [0.0000, 0.0000, 3.8819]], "species": ["Dy", "Dy", "Ge", "Ge", "Ge", "Ge", "Rh", "Rh", "Rh", "Rh", "Rh", "Rh", "Rh", "Rh"], "fractional_positions": [[0.0000, 0.0000, 0.0000], [0.5000, 0.5000, 0.5000], [0.2263, 0.2263, 0.5000], [0.2737, 0.7263, 0.0000], [0.7263, 0.2737, 0.0000], [0.7737, 0.7737, 0.5000], [0.0763, 0.6642, 0.5000], [0.1642, 0.4237, 0.0000], [0.3358, 0.9237, 0.5000], [0.4237, 0.1642, 0.0000], [0.5763, 0.8358, 0.0000], [0.6642, 0.0763, 0.5000], [0.8358, 0.5763, 0.0000], [0.9237, 0.3358, 0.5000]], "dos_at_fermi_per_ev_atom": 0.724, "formation_energy_mev_per_atom": -700, "relative_energy_ev_per_fu": 0.00, "magmom_total_mub_per_cell": 0.00}



{"formula": "HfAsSe2N", "functional": "PBE", "state": "relaxed", "lattice_angstrom": [[5.0863, 0.0000, 0.0000], [0.0000, 5.0863, 0.0000], [0.0000, 0.0000, 3.6393]], "species": ["Hf", "As", "Se", "Se", "N"], "fractional_positions": [[0.0000, 0.0000, 0.0000], [0.5000, 0.5000, 0.5000], [0.0000, 0.5000, 0.5000], [0.5000, 0.0000, 0.5000], [0.5000, 0.5000, 0.0000]], "dos_at_fermi_per_ev_atom": 0.672, "relative_energy_ev_per_fu": 2.03, "raw_formation_energy_ev_per_atom": 0.518, "magmom_total_mub_per_cell": 0.13}